Entry 1:
## CaCoH3 (PBE)

Data for crystalline CaCoH3 at its relaxed geometry.

The space group is P2_1/c (No. 14) and the conventional cell measures 6.180, 4.501 and 7.956 Å, with angles of 90.00, 109.07 and 90.00 degrees. Symmetry generates all atoms from Ca at (0.213, 0.244, 0.178), Co at (0.391, 0.748, 0.471), H at (0.150, 0.591, 0.906), H at (0.342, 0.099, 0.959) and H at (0.497, 0.000, 0.623).

Its crystal system is monoclinic. As for the volume: 10.5 Å³/atom. As for the total DFT energy (no corrections): -4.126 eV/atom.

Entry 2:
## KSr2Cu (PBE)

Data for crystalline KSr2Cu at its relaxed geometry.

The space group is F-43m (No. 216) and the conventional cell measures 8.782, 8.782 and 8.782 Å, with angles of 90.00, 90.00 and 90.00 degrees. Symmetry generates all atoms from K at (0.000, 0.000, 0.000), Sr at (0.000, 0.000, 0.500), Sr at (0.250, 0.250, 0.250) and Cu at (0.250, 0.250, 0.750).

Its crystal system is cubic. As for the volume: 42.3 Å³/atom. As for the total DFT energy (no corrections): -1.700 eV/atom. The value obtained for the polymorph energy (0 for the lowest one) is 0.412 eV/atom.

Entry 3:
## Ba2UTlS5 (PBE)

Data for crystalline Ba2UTlS5 at its relaxed geometry.

The space group is Immm (No. 71) and the conventional cell measures 5.155, 7.628 and 14.862 Å, with angles of 90.00, 90.00 and 90.00 degrees. Symmetry generates all atoms from Ba at (0.000, 0.000, 0.212), U at (0.000, 0.500, 0.500), Tl at (0.000, 0.500, 0.000), S at (0.000, 0.000, 0.000) and S at (0.000, 0.268, 0.370).

Its crystal system is orthorhombic. As for the volume: 32.5 Å³/atom. As for the total DFT energy (no corrections): -5.726 eV/atom. For the formation energy from raw total energies, the calculation gives -1489 meV per atom.

Entry 4:
## UInCuPd (PBE)

Data for crystalline UInCuPd at its relaxed geometry.

The space group is F-43m (No. 216) and the conventional cell measures 6.769, 6.769 and 6.769 Å, with angles of 90.00, 90.00 and 90.00 degrees. Symmetry generates all atoms from U at (0.000, 0.000, 0.000), In at (0.000, 0.000, 0.500), Cu at (0.250, 0.250, 0.750) and Pd at (0.250, 0.250, 0.250).

Its crystal system is cubic. As for the volume: 19.4 Å³/atom. As for the total DFT energy (no corrections): -5.928 eV/atom.

Entry 5:
## TmTiPdAu (PBE)

Data for crystalline TmTiPdAu at its relaxed geometry.

The space group is F-43m (No. 216) and the conventional cell measures 6.751, 6.751 and 6.751 Å, with angles of 90.00, 90.00 and 90.00 degrees. Symmetry generates all atoms from Tm at (0.000, 0.000, 0.000), Ti at (0.000, 0.000, 0.500), Pd at (0.250, 0.250, 0.250) and Au at (0.250, 0.250, 0.750).

Its crystal system is cubic. As for the volume: 19.2 Å³/atom. As for the total DFT energy (no corrections): -5.773 eV/atom.

Entry 6:
## NiSe2Br (PBE)

Data for crystalline NiSe2Br at its relaxed geometry.

The space group is R3m (No. 160, hexagonal axes) and the conventional cell measures 3.3913, 3.3913 and 26.6488 Å, with angles of 90.00, 90.00 and 120.00 degrees. Symmetry generates all atoms from Ni at (0.0000, 0.0000, 0.0000), Se at (0.0000, 0.0000, 0.2801), Se at (0.0000, 0.0000, 0.8652) and Br at (0.0000, 0.0000, 0.3953).

Its crystal system is trigonal. As for the volume: 22.1 Å³/atom. As for the total DFT energy (no corrections): -3.412 eV/atom. For the formation energy from raw total energies, the calculation gives 194 meV per atom. The value obtained for the polymorph energy (0 for the lowest one) is 0.432 eV/atom.

Entry 7:
## GdTmPb2 (PBE)

Data for crystalline GdTmPb2 at its relaxed geometry.

The space group is P4/mmm (No. 123) and the conventional cell measures 5.030, 5.030 and 4.454 Å, with angles of 90.00, 90.00 and 90.00 degrees. Symmetry generates all atoms from Gd at (0.000, 0.000, 0.000), Tm at (0.500, 0.500, 0.000) and Pb at (0.000, 0.500, 0.500).

Its crystal system is tetragonal. As for the volume: 28.2 Å³/atom. As for the total DFT energy (no corrections): -6.923 eV/atom. The value obtained for the polymorph energy (0 for the lowest one) is 0.000 eV/atom.

Entry 8:
## Ca3GeF (PBE)

Data for crystalline Ca3GeF at its relaxed geometry.

The space group is Pm-3m (No. 221) and the conventional cell measures 4.846, 4.846 and 4.846 Å, with angles of 90.00, 90.00 and 90.00 degrees. Symmetry generates all atoms from Ca at (0.000, 0.000, 0.500), Ge at (0.500, 0.500, 0.500) and F at (0.000, 0.000, 0.000).

Its crystal system is cubic. As for the volume: 22.8 Å³/atom. As for the total DFT energy (no corrections): -3.713 eV/atom. For the formation energy from raw total energies, the calculation gives -1214 meV per atom. The value obtained for the polymorph energy (0 for the lowest one) is 0.179 eV/atom.